The following is a DFT calculation (PBE+U) of a geometry-optimized Ba2FeSeO structure.

Calculated values
The total energy comes out at -17.8 eV/cell.

```
data_Ba2FeSeO
_chemical_formula_sum 'Ba2 Fe1 Se1 O1'
_space_group_name_H-M_alt 'P 4/m m m'
_space_group_IT_number 123
_space_group_name_Hall '-P 4 2'
_cell_length_a 6.2506
_cell_length_b 6.2506
_cell_length_c 4.2352
_cell_angle_alpha 90.00
_cell_angle_beta 90.00
_cell_angle_gamma 90.00
loop_
_atom_site_label
_atom_site_type_symbol
_atom_site_fract_x
_atom_site_fract_y
_atom_site_fract_z
Ba1 Ba 0.0000 0.5000 0.0000
Fe1 Fe 0.0000 0.0000 0.5000
Se1 Se 0.5000 0.5000 0.0000
O1 O 0.5000 0.5000 0.5000
```